[1]
Ni2SnSb: optimized geometry, GGA-PBE.

Summary:
formation energy without anion corrections = 0.0805 eV/atom
energy relative to the lowest polymorph listed for this composition = 354 meV per atom
symmetry = No. 225

Cell and atoms, written as POSCAR:
```
Ni2SnSb
1.0
0.000 3.237 3.237
3.237 0.000 3.237
3.237 3.237 0.000
Sn Sb Ni
1 1 2
Direct
0.000 0.000 0.000
0.500 0.500 0.500
0.750 0.750 0.750
0.250 0.250 0.250
```

---

[2]
Nb3Pb2O8F4: optimized geometry, GGA-PBE.

Summary:
formation energy without anion corrections = -2.3541 eV/atom
symmetry = No. 139

Cell and atoms, written as POSCAR:
```
Nb3Pb2O8F4
1.0
-13.638 5.040 8.384
-15.065 -0.246 7.394
15.539 -3.167 -5.494
Nb Pb O F
3 2 8 4
Direct
0.000 0.000 0.000
0.118 0.118 0.000
0.882 0.882 0.000
0.703 0.703 0.000
0.297 0.297 0.000
0.628 0.128 0.500
0.128 0.628 0.500
0.062 0.062 0.000
0.938 0.938 0.000
0.372 0.872 0.500
0.500 0.000 0.500
0.872 0.372 0.500
0.000 0.500 0.500
0.250 0.750 0.500
0.814 0.814 0.000
0.750 0.250 0.500
0.186 0.186 0.000
```

---

[3]
Sr3SmO4: optimized geometry, GGA-PBE.

Summary:
formation energy without anion corrections = -2.6801 eV/atom
symmetry = No. 221

Cell and atoms, written as POSCAR:
```
Sr3SmO4
1.0
-1.904 -2.399 4.107
3.141 -3.956 -0.854
3.571 2.200 2.941
Sm Sr O
1 3 4
Direct
0.000 0.000 0.000
0.500 0.000 0.500
0.500 0.500 0.000
0.000 0.500 0.500
0.000 0.000 0.500
0.500 0.000 0.000
0.500 0.500 0.500
0.000 0.500 0.000
```

---

[4]
KCaOs2: optimized geometry, GGA-PBE.

Summary:
energy relative to the lowest polymorph listed for this composition = 778 meV per atom
E_form = 1169.7 meV per atom
symmetry = No. 10

Cell and atoms, written as POSCAR:
```
KCaOs2
1.0
-5.104 -0.938 -0.186
-0.081 -0.110 2.773
-0.994 5.104 1.526
Os K Ca
2 1 1
Direct
0.000 0.004 0.006
0.000 0.496 0.494
0.500 0.750 0.750
0.500 0.250 0.250
```

---

[5]
Na3Tl3Cd4: optimized geometry, GGA-PBE.

Summary:
E_form = -39.0 meV per atom
symmetry = No. 38

Cell and atoms, written as POSCAR:
```
Na3Tl3Cd4
1.0
4.413 0.000 0.000
0.000 8.003 0.081
0.000 0.151 8.002
Tl Na Cd
3 3 4
Direct
0.000 0.993 0.485
0.000 0.515 0.007
0.500 0.170 0.830
0.500 0.322 0.337
0.500 0.663 0.678
0.500 0.834 0.166
0.000 0.623 0.377
0.000 0.360 0.640
0.000 0.141 0.120
0.000 0.880 0.859
```

---

[6]
Ga2MoRhAu: optimized geometry, GGA-PBE.

Summary:
E_form = 721.7 meV per atom
symmetry = No. 123

Cell and atoms, written as POSCAR:
```
Ga2MoRhAu
1.0
-3.375 0.543 3.076
3.381 -0.882 3.866
0.923 4.499 0.219
Ga Rh Mo Au
2 1 1 1
Direct
0.500 0.000 0.000
0.000 0.000 0.500
0.000 0.000 0.000
0.500 0.500 0.500
0.000 0.500 0.000
```

---

[7]
KMgW3: optimized geometry, GGA-PBE.

Summary:
energy relative to the lowest polymorph listed for this composition = 0 meV per atom
E_form = 2935.3 meV per atom
symmetry = No. 221

Cell and atoms, written as POSCAR:
```
KMgW3
1.0
4.833 0.000 0.000
0.000 4.833 0.000
0.000 0.000 4.833
W Mg K
3 1 1
Direct
0.000 0.500 0.000
0.500 0.000 0.000
0.000 0.000 0.500
0.000 0.000 0.000
0.500 0.500 0.500
```

---

[8]
CsMgBi: optimized geometry, GGA-PBE.

Summary:
E_form = 114.2 meV per atom
symmetry = No. 194

Cell and atoms, written as POSCAR:
```
CsMgBi
1.0
5.921 -3.418 0.000
0.000 6.837 0.000
0.000 0.000 10.433
Bi Mg Cs
2 2 2
Direct
0.000 0.000 0.500
0.000 0.000 0.000
0.000 0.000 0.250
0.000 0.000 0.750
0.667 0.333 0.750
0.333 0.667 0.250
```